Li4Hg2Au | Alexandria | PBE | optimized geometry; excess energy over the best structure of this formula in the dataset = 10 meV/atom
1.0
-1.4448 -3.0866 6.0380
6.7788 1.4319 -0.2638
-3.5998 5.8980 -0.5722
Li Au Hg
8 2 4
Cartesian
2.2039 2.2527 3.3689
4.6238 3.0716 0.1941
-2.6445 3.2025 4.1895
0.1450 2.1114 5.2302
-1.9507 4.7267 1.1538
1.2416 2.3255 0.3483
4.0324 -0.6772 3.6716
-0.7148 -0.0404 2.6515
1.4059 -0.1246 4.2535
0.0000 0.0000 0.0000
-0.4848 2.6968 2.5034
2.6573 4.4439 1.6128
-2.1843 0.5021 4.9556
3.4801 0.8436 1.3321

Li2HgAu2 | Alexandria | PBE | optimized geometry; excess energy over the best structure of this formula in the dataset = 4 meV/atom
1.0
-3.2998 -1.2311 3.4987
-2.2278 -8.7176 -1.6465
0.5738 -12.3071 -0.2673
Li Au Hg
4 4 2
Cartesian
-2.3514 -2.7910 1.6466
-2.6024 -19.4648 -0.0617
-3.0162 -9.4154 2.2108
-1.9376 -12.8404 -0.6258
-1.9483 -5.4861 2.0406
-3.0055 -16.7696 -0.4557
-3.9329 -16.4303 2.3110
-1.0209 -5.8254 -0.7261
-2.6882 -12.3654 2.1039
-2.2656 -9.8904 -0.5190

The following is a PBE calculation of a relaxed Li3Hg4Au2 crystal, from Alexandria.

POSCAR file:
```
Li3Hg4Au2
1.0
4.3324 0.0104 -0.0189
2.1728 4.5635 0.7263
-0.0399 0.8917 8.8493
Li Hg Au
3 4 2
Cartesian
2.1484 1.9577 4.1015
4.3170 3.5078 5.4551
0.0000 0.0000 0.0000
4.3067 3.8944 8.3461
2.1652 4.7196 3.7315
2.1588 1.5711 1.2106
4.3003 0.7460 5.8251
4.3235 3.1585 2.5612
2.1419 2.3071 6.9955
```

Li2Hg3Au | Alexandria | PBE | optimized geometry; excess energy over the best structure of this formula in the dataset = 0 meV/atom
1.0
-0.0092 2.6595 3.4725
-5.4470 1.9468 -1.5054
-3.6848 -6.4798 4.9529
Li Au Hg
4 2 6
Cartesian
-1.4894 0.5771 2.3088
-4.2141 -3.4929 2.6640
-5.8972 -0.6900 0.5128
-6.6847 -2.7962 4.8785
-5.0366 -0.9034 3.4333
-2.1872 -1.6553 4.0166
-3.0041 -1.5129 1.1507
-4.3647 1.4063 1.6661
-3.9254 -3.5839 5.4891
-5.1062 1.6913 -1.3088
-5.9411 -5.5397 4.2269
-6.9675 -2.7200 2.0647

The following is a PBE calculation of a relaxed Li7HgAu12 crystal, from Alexandria.

POSCAR file:
```
Li7HgAu12
1.0
6.9331 0.9638 1.4466
-1.0020 6.9277 1.4466
-1.0020 -1.3332 6.9504
Au Li Hg
12 7 1
Cartesian
0.7579 4.9675 8.6313
2.0490 3.4558 2.3289
0.2162 2.1958 4.0862
-0.6736 4.1474 1.9351
2.1793 5.5372 6.2435
5.6027 2.4108 7.9086
4.5608 7.1530 5.2709
4.7129 4.3625 5.7575
0.3682 -0.5947 4.5728
2.7498 1.0211 3.6002
2.8800 3.1025 7.5148
4.1712 1.5908 1.2124
1.3285 0.9254 6.4813
5.0336 2.8401 3.3503
0.5195 5.3906 3.9114
-0.1045 3.7181 6.4934
4.4096 1.1676 5.9323
2.4645 3.2791 4.9219
3.6006 5.6329 3.3624
0.0000 0.0000 0.0000
```

Li4Hg5Au2 | Alexandria | PBE | optimized geometry; excess energy over the best structure of this formula in the dataset = 97 meV/atom
1.0
-1.5686 -2.2994 -1.2840
2.4829 -4.2922 4.6533
-7.6280 3.3308 7.0132
Au Hg Li
2 5 4
Cartesian
-0.6534 -0.9319 2.4672
-6.0603 -2.3288 7.9152
-0.1968 -3.1923 5.9573
-0.7843 -1.1497 -0.6420
-3.5149 -3.1681 6.3084
-6.5170 -0.0685 4.4252
-3.1989 -0.0927 4.0740
-2.1059 -2.7389 3.8185
-4.6079 -0.5219 6.5640
0.9876 -2.6553 3.5487
-7.7014 -0.6054 6.8337

Li2Hg3Au | Alexandria | PBE | optimized geometry; excess energy over the best structure of this formula in the dataset = 12 meV/atom
1.0
3.1435 0.0000 0.0000
0.0000 3.3346 0.0000
0.0000 0.0000 11.6447
Hg Au Li
3 1 2
Cartesian
1.5717 0.0000 1.8683
1.5717 1.6673 7.3694
1.5717 0.0000 9.9355
1.5717 1.6673 4.2577
0.0000 0.0000 5.5951
0.0000 1.6673 0.0858

Li4HgAu2 | Alexandria | PBE | optimized geometry; excess energy over the best structure of this formula in the dataset = 146 meV/atom
1.0
-0.7290 4.6637 -1.8070
-2.0886 1.3804 4.4052
5.8119 0.7553 -0.3951
Li Hg Au
4 1 2
Cartesian
3.1357 3.3931 0.4235
-0.1414 3.4063 1.7796
1.5783 0.4785 0.5984
2.1449 1.6572 3.4117
-1.0443 0.6902 2.2026
2.1362 4.0969 2.6431
0.8581 2.7026 -0.4400

Li4HgAu | Alexandria | PBE | optimized geometry; excess energy over the best structure of this formula in the dataset = 0 meV/atom
1.0
-1.5038 -2.5677 0.0915
3.8372 -2.2393 0.2164
-0.2055 0.3803 7.5709
Au Li Hg
1 4 1
Cartesian
3.4759 -2.4830 3.8433
1.5209 -1.2846 5.1870
2.6599 -3.6424 6.3386
0.8289 -2.6937 2.8827
2.7863 -3.8910 1.5018
1.6503 -1.5385 0.2890

The following is a PBE calculation of a relaxed Li4HgAu7 crystal, from Alexandria.

POSCAR file:
```
Li4HgAu7
1.0
5.1826 0.0000 0.0000
2.5913 8.3867 -0.0099
2.5913 0.1644 5.3620
Au Li Hg
7 4 1
Cartesian
5.1826 4.4727 4.0302
2.5913 0.0000 0.0000
5.1826 4.0784 1.3219
7.7739 7.7344 2.7657
7.7739 3.0102 4.2333
2.5913 0.8167 2.5863
2.5913 5.5409 1.1187
2.5913 2.8577 0.9680
5.1826 6.5662 2.2398
5.1826 1.9850 3.1122
7.7739 5.6934 4.3841
0.0000 0.0000 0.0000
```

LiHgAu | Alexandria | PBE | optimized geometry; excess energy over the best structure of this formula in the dataset = 95 meV/atom
1.0
-0.7049 -2.3590 3.6294
2.5161 -3.4842 0.8738
2.8791 0.1478 3.3050
Hg Li Au
1 1 1
Cartesian
2.3451 -2.8477 3.9041
3.5177 -4.2715 5.8562
0.0000 0.0000 0.0000

Li7HgAu2 | Alexandria | PBE | optimized geometry; excess energy over the best structure of this formula in the dataset = 0 meV/atom
1.0
-2.1083 1.5523 3.6619
-2.0179 -3.0351 -2.6421
3.9473 -7.2943 5.3646
Hg Li Au
1 7 2
Cartesian
0.1839 -0.3398 0.2499
1.3554 -2.5047 1.8421
1.4758 -8.0178 4.2484
-0.4830 -4.3980 1.5862
1.7320 -7.0178 6.7389
2.8839 -5.3292 3.9194
0.0994 -4.0008 4.5200
-1.4450 -2.6203 0.2788
-1.0542 -1.8691 2.9523
0.4963 -6.2077 2.9172

Li2HgAu2 | Alexandria | PBE | optimized geometry; excess energy over the best structure of this formula in the dataset = 158 meV/atom
1.0
4.0694 0.0000 0.0000
0.0000 4.0694 0.0000
2.0347 2.0347 6.0406
Li Au Hg
2 2 1
Cartesian
4.0694 2.0347 3.0203
2.0347 4.0694 3.0203
4.0694 4.0694 4.6605
2.0347 2.0347 1.3801
0.0000 0.0000 0.0000

The following is a PBE calculation of a relaxed Li12Hg3Au crystal, from Alexandria.

POSCAR file:
```
Li12Hg3Au
1.0
-1.9176 3.2244 1.7438
-3.5415 -1.1217 -1.8205
-3.6883 -9.1094 12.7875
Hg Au Li
3 1 12
Cartesian
-1.8442 -4.5547 6.3937
-0.9096 -2.2465 3.1536
-2.7787 -6.8629 9.6339
0.0000 0.0000 0.0000
-2.3366 -1.7906 5.6486
-4.2139 -6.4271 12.1572
-5.5104 -5.8166 9.6026
-1.3921 0.5421 2.3741
-2.7296 1.0513 -0.0384
-3.1485 -3.9636 3.8664
-3.2694 -4.0945 8.8827
-2.2040 -1.6309 0.5919
-4.0813 -6.2675 7.1005
-3.6371 -1.1901 3.1082
-4.5737 -3.5034 6.3554
-5.0258 -8.6002 10.3750
```

LiHgAu5 | Alexandria | PBE | optimized geometry; excess energy over the best structure of this formula in the dataset = 22 meV/atom
1.0
4.9931 0.0000 0.0000
0.0000 4.9931 0.0000
0.0000 0.0000 5.6144
Au Hg Li
5 1 1
Cartesian
2.4966 2.4966 2.8072
2.4966 0.0000 4.2700
0.0000 2.4966 1.3444
2.4966 0.0000 1.3444
0.0000 2.4966 4.2700
0.0000 0.0000 2.8072
2.4966 2.4966 0.0000

The following is a PBE calculation of a relaxed Li5Hg2Au2 crystal, from Alexandria.

POSCAR file:
```
Li5Hg2Au2
1.0
-2.5656 -3.0452 -5.7822
-5.5924 -2.0189 3.5446
-0.4087 6.9193 -3.4627
Li Hg Au
10 4 4
Cartesian
-6.6724 -2.3988 -2.9118
-2.2200 3.0769 -6.2862
-3.4293 -0.8589 -3.6769
-1.8943 4.2540 -2.7885
-5.1374 2.7141 -2.0234
-6.3467 -1.2217 0.5859
-5.4631 1.5370 -5.5211
-4.0790 -2.5320 -1.1188
0.0000 0.0000 0.0000
-3.1036 0.3182 -0.1792
-5.4299 -0.0410 -1.8313
-1.3509 2.4910 -0.7125
-4.6502 2.4094 0.7944
-3.1368 1.8963 -3.8690
-1.7100 -1.3777 -1.5745
-4.2102 -3.3398 -3.6940
-6.4480 -3.6864 -0.6630
-3.9478 -1.7243 1.4564
```

The following is a PBE calculation of a relaxed Li8HgAu5 crystal, from Alexandria.

POSCAR file:
```
Li8HgAu5
1.0
-5.2532 3.2816 -2.7042
-2.0359 -5.6241 3.1468
2.9273 4.2663 4.3482
Li Hg Au
8 1 5
Cartesian
-2.5102 0.4010 5.0436
-0.5433 -1.8355 4.1867
-3.0777 5.5023 0.6139
-1.0967 1.3341 1.6818
-3.4104 2.4355 0.3157
-3.2019 -0.5842 1.6243
-2.0388 -3.3896 2.2422
-1.5678 3.8319 3.4548
-0.1357 1.2081 4.1585
-0.4983 -1.2392 1.5447
-5.7934 -1.3428 1.4089
1.0275 4.5784 3.6676
-1.1629 3.7740 0.8220
-3.4593 1.8514 2.9604
```

Li4HgAu2 | Alexandria | PBE | optimized geometry; excess energy over the best structure of this formula in the dataset = 0 meV/atom
1.0
4.3452 0.0000 1.3575
1.9605 3.8777 1.3575
0.0445 0.0274 7.4903
Au Li Hg
2 4 1
Cartesian
1.6329 1.0042 2.4062
4.7173 2.9010 7.7991
2.5317 1.5569 7.1620
5.4829 3.3718 5.3486
3.8185 2.3482 3.0433
0.8673 0.5333 4.8568
0.0000 0.0000 0.0000

LiHg2Au8 | Alexandria | PBE | optimized geometry; excess energy over the best structure of this formula in the dataset = 0 meV/atom
1.0
3.9721 0.0000 -1.1418
-0.6819 6.2368 -2.3722
0.1359 0.5073 7.9527
Au Li Hg
8 1 2
Cartesian
-0.3118 4.6195 -1.0846
3.7379 2.1245 5.5233
2.1055 5.9168 -0.1555
0.4246 1.2353 1.4771
3.0015 5.5087 2.9615
1.3788 3.9075 4.7966
1.3206 0.8272 4.5941
2.0472 2.8365 -0.3580
1.9860 0.0000 -0.5709
2.9229 2.5204 2.6882
0.5032 4.2236 1.7504

The following is a PBE calculation of a relaxed Li5Hg2Au crystal, from Alexandria.

POSCAR file:
```
Li5Hg2Au
1.0
4.6157 0.0000 0.0000
0.0000 4.6157 0.0000
-2.3078 -2.3078 6.3786
Au Li Hg
1 5 2
Cartesian
0.0000 0.0000 0.0000
2.3078 2.3078 0.0000
2.3078 0.0000 4.8231
0.0000 2.3078 4.8231
0.0000 2.3078 1.5556
2.3078 0.0000 1.5556
0.0000 0.0000 3.2061
2.3078 2.3078 3.1725
```

Computed values of VASP energy (unit: eV per cell) for the preceding records, in sequence: -27.86 -25.43 -16.14 -19.38 -59.44 -18.29 -9.62 -16.41 -13.36 -34.02 -6.20 -23.49 -11.95 -31.74 -18.92 -40.04 -37.83 -17.43 -29.70 -16.38.
Computed values of formation enthalpy at 0 K (unit: eV/atom) for the preceding records, in sequence: -0.34 -0.41 -0.29 -0.28 -0.32 -0.23 -0.27 -0.27 -0.35 -0.26 -0.23 -0.32 -0.25 -0.29 -0.04 -0.37 -0.42 -0.42 -0.09 -0.37.